A plane-wave DFT calculation with PBE-GGA was carried out for a geometry-optimized Sn2PdPb structure.

Structure (CIF):
```
data_Sn2PdPb
_space_group_name_H-M_alt 'P 4/m m m'
_space_group_IT_number 123
_space_group_name_Hall '-P 4 2'
_cell_length_a 3.442
_cell_length_b 3.442
_cell_length_c 8.149
_cell_angle_alpha 90.00
_cell_angle_beta 90.00
_cell_angle_gamma 90.00
loop_
_atom_site_label
_atom_site_type_symbol
_atom_site_fract_x
_atom_site_fract_y
_atom_site_fract_z
_atom_site_occupancy
Sn1 Sn 0.000 0.000 0.198 1
Pd1 Pd 0.500 0.500 0.000 1
Pb1 Pb 0.500 0.500 0.500 1
```

* Fermi-level density of states: 1.6 states/eV/cell
* formation energy from the elements: -0.822 eV/f.u.

A plane-wave DFT calculation with PBE-GGA was carried out for a geometry-optimized Sn2PdPb2 structure.

Structure (CIF):
```
data_Sn2PdPb2
_space_group_name_H-M_alt 'P 4/m b m'
_space_group_IT_number 127
_space_group_name_Hall '-P 4 2ab'
_cell_length_a 7.359
_cell_length_b 7.359
_cell_length_c 5.135
_cell_angle_alpha 90.00
_cell_angle_beta 90.00
_cell_angle_gamma 90.00
loop_
_atom_site_label
_atom_site_type_symbol
_atom_site_fract_x
_atom_site_fract_y
_atom_site_fract_z
_atom_site_occupancy
Sn1 Sn 0.156 0.344 0.000 1
Pd1 Pd 0.000 0.000 0.500 1
Pb1 Pb 0.156 0.656 0.500 1
```

* Fermi-level density of states: 3.2 states/eV/cell
* formation energy from the elements: 0.423 eV/f.u.
* polymorph energy (0 for the lowest one): 17.1 kJ/mol of atoms